# 1
# Ca4CdAu2

A geometry-optimized Ca4CdAu2 structure (PBE, Alexandria via LeMat-Bulk).

Geometry as POSCAR:
```
Ca4CdAu2
1.0
5.321 -0.002 0.000
-2.661 4.607 0.000
0.000 0.000 15.971
Ca Au Cd
8 4 2
Direct
0.167 0.833 0.873 Ca
0.167 0.833 0.627 Ca
0.833 0.167 0.127 Ca
0.833 0.167 0.373 Ca
0.166 0.834 0.250 Ca
0.834 0.166 0.750 Ca
0.500 0.500 0.000 Ca
0.500 0.500 0.500 Ca
0.834 0.166 0.562 Au
0.166 0.834 0.062 Au
0.834 0.166 0.938 Au
0.166 0.834 0.438 Au
0.499 0.501 0.250 Cd
0.501 0.499 0.750 Cd
```

Computed properties:
size of the total moment	0.0	μB/f.u.
formation energy from the elements	-0.53	eV/atom

---

# 2
# CaCdAu2

A geometry-optimized CaCdAu2 structure (PBE, Alexandria via LeMat-Bulk).

Geometry as POSCAR:
```
CaCdAu2
1.0
5.380 -0.078 0.037
3.634 3.968 0.037
1.794 0.774 3.957
Ca Au Cd
1 2 1
Direct
0.500 0.500 0.500 Ca
0.000 0.000 0.000 Au
0.750 0.750 0.750 Au
0.250 0.250 0.250 Cd
```

Computed properties:
size of the total moment	0.0	μB/f.u.
formation energy from the elements	-0.49	eV/atom

---

# 3
# Ca4CdAu5

A geometry-optimized Ca4CdAu5 structure (PBE, Alexandria via LeMat-Bulk).

Geometry as POSCAR:
```
Ca4CdAu5
1.0
-2.457 2.452 1.062
-1.048 -2.212 2.681
11.916 7.311 10.691
Ca Cd Au
4 1 5
Direct
0.000 0.000 0.189 Ca
0.000 0.000 0.397 Ca
0.000 0.000 0.603 Ca
0.000 0.000 0.811 Ca
0.000 0.000 0.000 Cd
0.500 0.500 0.089 Au
0.500 0.500 0.293 Au
0.500 0.500 0.500 Au
0.500 0.500 0.707 Au
0.500 0.500 0.911 Au
```

Computed properties:
size of the total moment	0.0	μB/f.u.
formation energy from the elements	-0.69	eV/atom

---

no.,D(E_F) (states/eV/atom),VASP energy (eV per cell)
1,0.822,-38.44
2,0.371,-11.41
3,0.557,-32.20